First-principles (PBE-GGA) data for an optimized crystal structure of Li4TaTlO6, as listed in OQMD via LeMat-Bulk.

a = 5.3778 Å, b = 5.3778 Å, c = 5.2650 Å
α = 100.03°, β = 100.03°, γ = 119.83°
Positions (direct):
Li: 0.0000 0.0000 0.0000
Li: 0.3531 0.6469 0.0000
Li: 0.6909 0.3091 0.0000
Li: 0.8478 0.1522 0.5000
Ta: 0.5147 0.4853 0.5000
Tl: 0.1795 0.8205 0.5000
O: 0.1235 0.4020 0.2543
O: 0.2764 0.2680 0.7316
O: 0.4408 0.1133 0.2523
O: 0.5980 0.8765 0.7457
O: 0.7320 0.7236 0.2684
O: 0.8867 0.5592 0.7477

Properties
Size of the total moment   0.00 μB/atom
Energy   -6.270 eV per atom

First-principles (PBE-GGA) data for an optimized crystal structure of Tb2YGa3CuGe2, as listed in OQMD via LeMat-Bulk.

a = 4.1642 Å, b = 7.0540 Å, c = 7.0540 Å
α = 119.94°, β = 90.00°, γ = 90.00°
Positions (direct):
Tb: 0.0000 0.2004 0.7996
Tb: 0.0000 0.7996 0.2004
Y: 0.0000 0.6015 0.6015
Ga: 0.5000 0.2005 0.4346
Ga: 0.5000 0.4346 0.2005
Ga: 0.5000 0.9665 0.9665
Cu: 0.0000 0.2005 0.2005
Ge: 0.5000 0.5340 0.8670
Ge: 0.5000 0.8670 0.5340

Properties
Size of the total moment   0.00 μB/atom
Energy   -4.855 eV per atom